Record 1
The following is a PBE calculation of a geometry-optimized Ba3YTl structure, from Alexandria.

Unit cell a=6.6466 b=6.6466 c=6.6466 alpha=90.00 beta=90.00 gamma=90.00
Closest atoms and distances in Å follow each position.
Fractional coordinates of all 5 atoms:
Ba 0.0000 0.5000 0.0000  2 Tl 3.32
Y 0.5000 0.5000 0.5000  12 Ba 4.70
Ba 0.5000 0.0000 0.0000  2 Tl 3.32
Ba 0.0000 0.0000 0.5000  2 Tl 3.32
Tl 0.0000 0.0000 0.0000  6 Ba 3.32

Values from the calculation:
- E above lowest polymorph: 0 meV per atom
- Total DFT energy (no corrections): -2.59 eV/atom
- Total magnetization: 1.94 μB per formula unit


Record 2
The following is a PBE calculation of a geometry-optimized Cs2ThPtO4 structure, from Alexandria.

Unit cell a=6.1419 b=6.1419 c=6.1419 alpha=102.13 beta=113.26 gamma=113.26
Closest atoms and distances in Å follow each position.
Fractional coordinates of all 8 atoms:
Pt 0.0000 0.5000 0.5000  4 O 2.09
Th 0.5000 0.2500 0.7500  4 O 2.21
O 0.3905 0.8420 0.6704  1 Pt 2.09, 1 Th 2.21
O 0.1716 0.3296 0.7201  1 Pt 2.09, 1 Th 2.21
O 0.6095 0.2799 0.4515  1 Pt 2.09, 1 Th 2.21
Cs 0.5000 0.7500 0.2500  4 O 2.91
O 0.8284 0.5485 0.1580  1 Pt 2.09, 1 Th 2.21
Cs 0.0000 0.0000 0.0000  4 O 3.06

Values from the calculation:
- Formation energy from raw total energies: -1.74 eV per atom
- Total DFT energy (no corrections): -6.12 eV/atom
- Total magnetization: 0.00 μB per formula unit


Record 3
The following is a PBE calculation of a geometry-optimized TmGa3Pd structure, from Alexandria.

Unit cell a=5.6583 b=7.5881 c=8.4618 alpha=96.79 beta=90.00 gamma=90.00
Closest atoms and distances in Å follow each position.
Fractional coordinates of all 20 atoms:
Pd 0.4377 0.6985 0.9539  7 Ga 2.61-2.84
Tm 0.3759 0.3076 0.3764  1 Pd 2.98, 10 Ga 2.99-3.31
Pd 0.5623 0.3015 0.0461  7 Ga 2.61-2.84
Tm 0.8759 0.1924 0.6236  1 Pd 2.98, 10 Ga 2.99-3.31
Ga 0.6050 0.6324 0.2301  3 Ga 2.52-2.82, 2 Pd 2.62-2.80
Pd 0.0623 0.1985 0.9539  7 Ga 2.61-2.84
Ga 0.6613 0.9983 0.8813  4 Pd 2.61-2.76, 3 Ga 2.71-2.82
Ga 0.8950 0.1324 0.2301  3 Ga 2.52-2.82, 2 Pd 2.62-2.80
Ga 0.1613 0.5017 0.1187  4 Pd 2.61-2.76, 3 Ga 2.71-2.82
Ga 0.8387 0.4983 0.8813  4 Pd 2.61-2.76, 3 Ga 2.71-2.82
Ga 0.3798 0.0558 0.6257  4 Ga 2.52-2.76
Tm 0.6241 0.6924 0.6236  1 Pd 2.98, 10 Ga 2.99-3.31
Ga 0.3387 0.0017 0.1187  4 Pd 2.61-2.76, 3 Ga 2.71-2.82
Ga 0.1202 0.5558 0.6257  4 Ga 2.52-2.76
Ga 0.6202 0.9442 0.3743  4 Ga 2.52-2.76
Ga 0.8798 0.4442 0.3743  4 Ga 2.52-2.76
Ga 0.1050 0.8676 0.7699  3 Ga 2.52-2.82, 2 Pd 2.62-2.80
Ga 0.3950 0.3676 0.7699  3 Ga 2.52-2.82, 2 Pd 2.62-2.80
Pd 0.9377 0.8015 0.0461  7 Ga 2.61-2.84
Tm 0.1241 0.8076 0.3764  1 Pd 2.98, 10 Ga 2.99-3.31

Values from the calculation:
- E above lowest polymorph: 51 meV per atom
- Total DFT energy (no corrections): -4.32 eV/atom
- Total magnetization: 0.00 μB per formula unit


Record 4
The following is a PBE calculation of a geometry-optimized LiTh2Al3 structure, from Alexandria.

Unit cell a=5.7440 b=5.7440 c=9.1561 alpha=90.00 beta=90.00 gamma=120.00
Closest atoms and distances in Å follow each position.
Fractional coordinates of all 12 atoms:
Li 0.0000 0.0000 0.0000  6 Al 2.85
Al 0.1699 0.3398 0.2500  4 Al 2.82-2.93, 2 Li 2.85
Th 0.3333 0.6667 0.9289  4 Th 3.28-3.56, 9 Al 3.31-3.36, 3 Li 3.38
Al 0.8301 0.6602 0.7500  4 Al 2.82-2.93, 2 Li 2.85
Th 0.6667 0.3333 0.0711  4 Th 3.28-3.56, 9 Al 3.31-3.36, 3 Li 3.38
Al 0.8301 0.1699 0.7500  4 Al 2.82-2.93, 2 Li 2.85
Li 0.0000 0.0000 0.5000  6 Al 2.85
Th 0.6667 0.3333 0.4289  4 Th 3.28-3.56, 9 Al 3.31-3.36, 3 Li 3.38
Al 0.3398 0.1699 0.7500  4 Al 2.82-2.93, 2 Li 2.85
Th 0.3333 0.6667 0.5711  4 Th 3.28-3.56, 9 Al 3.31-3.36, 3 Li 3.38
Al 0.6602 0.8301 0.2500  4 Al 2.82-2.93, 2 Li 2.85
Al 0.1699 0.8301 0.2500  4 Al 2.82-2.93, 2 Li 2.85

Values from the calculation:
- E above lowest polymorph: 0 meV per atom
- Total DFT energy (no corrections): -4.97 eV/atom
- Total magnetization: 0.00 μB per formula unit


Question: Which value of total magnetization does entry 3 give?
Answer: 0.00 μB per formula unit


Question: Which value of total magnetization does entry 3 give?
Answer: 0.00 μB per formula unit


What did the fourth record say?
The following is a PBE calculation of a geometry-optimized LiTh2Al3 structure, from Alexandria.

Unit cell a=5.7440 b=5.7440 c=9.1561 alpha=90.00 beta=90.00 gamma=120.00
Closest atoms and distances in Å follow each position.
Fractional coordinates of all 12 atoms:
Li 0.0000 0.0000 0.0000  6 Al 2.85
Al 0.1699 0.3398 0.2500  4 Al 2.82-2.93, 2 Li 2.85
Th 0.3333 0.6667 0.9289  4 Th 3.28-3.56, 9 Al 3.31-3.36, 3 Li 3.38
Al 0.8301 0.6602 0.7500  4 Al 2.82-2.93, 2 Li 2.85
Th 0.6667 0.3333 0.0711  4 Th 3.28-3.56, 9 Al 3.31-3.36, 3 Li 3.38
Al 0.8301 0.1699 0.7500  4 Al 2.82-2.93, 2 Li 2.85
Li 0.0000 0.0000 0.5000  6 Al 2.85
Th 0.6667 0.3333 0.4289  4 Th 3.28-3.56, 9 Al 3.31-3.36, 3 Li 3.38
Al 0.3398 0.1699 0.7500  4 Al 2.82-2.93, 2 Li 2.85
Th 0.3333 0.6667 0.5711  4 Th 3.28-3.56, 9 Al 3.31-3.36, 3 Li 3.38
Al 0.6602 0.8301 0.2500  4 Al 2.82-2.93, 2 Li 2.85
Al 0.1699 0.8301 0.2500  4 Al 2.82-2.93, 2 Li 2.85

Values from the calculation:
- E above lowest polymorph: 0 meV per atom
- Total DFT energy (no corrections): -4.97 eV/atom
- Total magnetization: 0.00 μB per formula unit